(1)
The following is a DFT calculation (PBE) of a relaxed structure of Ag12SBr.

Cell: 7.498 7.498 7.498 Å, 90.00 90.00 90.00°
Fractional coordinates of all 14 atoms:
Ag  0.000  0.250  0.500
Ag  0.000  0.500  0.250
Ag  0.000  0.500  0.750
Ag  0.000  0.750  0.500
Ag  0.250  0.000  0.500
Ag  0.250  0.500  0.000
Ag  0.500  0.000  0.250
Ag  0.500  0.000  0.750
Ag  0.500  0.250  0.000
Ag  0.500  0.750  0.000
Ag  0.750  0.000  0.500
Ag  0.750  0.500  0.000
S  0.000  0.000  0.000
Br  0.500  0.500  0.500

Output
Formation energy from raw total energies (meV/atom): 788


(2)
The following is a DFT calculation (PBE) of a relaxed structure of AgSBr2.

Cell: 8.344 8.344 8.344 Å, 28.64 28.64 28.64°
Fractional coordinates of all 4 atoms:
Ag  0.000  0.000  0.000
S  0.500  0.500  0.500
Br  0.398  0.398  0.398
Br  0.602  0.602  0.602

Output
Energy above the lowest structure with this stoichiometry (meV per atom): 277
Formation energy from raw total energies (meV/atom): 167


(3)
The following is a DFT calculation (PBE) of a relaxed structure of AgS3Br.

Cell: 4.948 4.948 4.948 Å, 90.00 90.00 90.00°
Fractional coordinates of all 5 atoms:
Ag  0.000  0.000  0.000
S  0.000  0.000  0.500
S  0.000  0.500  0.000
S  0.500  0.000  0.000
Br  0.500  0.500  0.500

Output
Energy above the lowest structure with this stoichiometry (meV per atom): 1095
Formation energy from raw total energies (meV/atom): 1002


(4)
The following is a DFT calculation (PBE) of a relaxed structure of Ag5S2Br.

Cell: 7.000 7.000 12.703 Å, 90.00 90.00 142.23°
Fractional coordinates of all 16 atoms:
Ag  0.063  0.937  0.618
Ag  0.063  0.937  0.882
Ag  0.206  0.794  0.250
Ag  0.294  0.706  0.575
Ag  0.294  0.706  0.925
Ag  0.706  0.294  0.075
Ag  0.706  0.294  0.425
Ag  0.794  0.206  0.750
Ag  0.937  0.063  0.118
Ag  0.937  0.063  0.382
S  0.129  0.871  0.072
S  0.129  0.871  0.428
S  0.871  0.129  0.572
S  0.871  0.129  0.928
Br  0.417  0.583  0.250
Br  0.583  0.417  0.750

Output
Formation energy from raw total energies (meV/atom): -39


(5)
The following is a DFT calculation (PBE) of a relaxed structure of AgS3Br.

Cell: 4.419 4.593 15.897 Å, 96.97 91.31 93.25°
Fractional coordinates of all 10 atoms:
Ag  0.232  0.268  0.004
Ag  0.768  0.732  0.996
S  0.140  0.813  0.697
S  0.215  0.489  0.342
S  0.459  0.742  0.604
S  0.541  0.258  0.396
S  0.785  0.511  0.658
S  0.860  0.187  0.303
Br  0.278  0.810  0.103
Br  0.722  0.190  0.897

Output
Energy above the lowest structure with this stoichiometry (meV per atom): 0
Formation energy from raw total energies (meV/atom): -93


(6)
The following is a DFT calculation (PBE) of a relaxed structure of Ag4S4Br3.

Cell: 9.311 9.311 9.311 Å, 154.70 106.29 79.37°
Fractional coordinates of all 11 atoms:
Ag  0.227  0.500  0.727
Ag  0.229  0.229  0.000
Ag  0.771  0.771  0.000
Ag  0.773  0.500  0.273
S  0.009  0.229  0.780
S  0.449  0.229  0.220
S  0.551  0.771  0.780
S  0.991  0.771  0.220
Br  0.000  0.500  0.500
Br  0.361  0.000  0.361
Br  0.639  0.000  0.639

Output
Formation energy from raw total energies (meV/atom): 82


(7)
The following is a DFT calculation (PBE) of a relaxed structure of Ag4S12Br.

Cell: 7.830 7.830 7.830 Å, 109.47 109.47 109.47°
Fractional coordinates of all 17 atoms:
Ag  0.000  0.000  0.500
Ag  0.000  0.500  0.000
Ag  0.500  0.000  0.000
Ag  0.500  0.500  0.500
S  0.145  0.537  0.392
S  0.145  0.753  0.608
S  0.247  0.392  0.855
S  0.392  0.145  0.537
S  0.392  0.855  0.247
S  0.463  0.608  0.855
S  0.537  0.392  0.145
S  0.608  0.145  0.753
S  0.608  0.855  0.463
S  0.753  0.608  0.145
S  0.855  0.247  0.392
S  0.855  0.463  0.608
Br  0.000  0.000  0.000

Output
Formation energy from raw total energies (meV/atom): 102


(8)
The following is a DFT calculation (PBE) of a relaxed structure of AgS6Br.

Cell: 4.686 7.976 8.286 Å, 114.85 100.84 101.42°
Fractional coordinates of all 8 atoms:
Ag  0.000  0.000  0.000
S  0.133  0.346  0.781
S  0.213  0.572  0.341
S  0.360  0.225  0.585
S  0.640  0.775  0.415
S  0.787  0.428  0.659
S  0.867  0.654  0.219
Br  0.500  0.000  0.000

Output
Formation energy from raw total energies (meV/atom): 65


(9)
The following is a DFT calculation (PBE) of a relaxed structure of Ag5S2Br2.

Cell: 10.413 10.413 10.413 Å, 56.52 140.57 141.19°
Fractional coordinates of all 18 atoms:
Ag  0.133  0.237  0.397
Ag  0.205  0.020  0.225
Ag  0.205  0.480  0.686
Ag  0.360  0.550  0.069
Ag  0.360  0.791  0.310
Ag  0.481  0.050  0.690
Ag  0.481  0.291  0.931
Ag  0.795  0.520  0.314
Ag  0.795  0.980  0.775
Ag  0.840  0.737  0.603
S  0.272  0.071  0.700
S  0.302  0.302  0.000
S  0.302  0.802  0.500
S  0.371  0.571  0.300
Br  0.788  0.197  0.334
Br  0.788  0.954  0.092
Br  0.863  0.454  0.666
Br  0.863  0.697  0.908

Output
Energy above the lowest structure with this stoichiometry (meV per atom): 16
Formation energy from raw total energies (meV/atom): -93


(10)
The following is a DFT calculation (PBE) of a relaxed structure of Ag2S4Br.

Cell: 4.442 4.442 11.531 Å, 107.70 107.70 53.54°
Fractional coordinates of all 7 atoms:
Ag  0.018  0.018  0.181
Ag  0.982  0.982  0.819
S  0.368  0.368  0.435
S  0.392  0.392  0.266
S  0.608  0.608  0.734
S  0.632  0.632  0.565
Br  0.500  0.500  0.000

Output
Formation energy from raw total energies (meV/atom): -17


(11)
The following is a DFT calculation (PBE) of a relaxed structure of AgS3Br3.

Cell: 8.939 8.939 8.939 Å, 57.99 57.99 57.99°
Fractional coordinates of all 14 atoms:
Ag  0.244  0.244  0.244
Ag  0.756  0.756  0.756
S  0.019  0.023  0.772
S  0.023  0.772  0.019
S  0.228  0.981  0.977
S  0.772  0.019  0.023
S  0.977  0.228  0.981
S  0.981  0.977  0.228
Br  0.089  0.501  0.697
Br  0.303  0.911  0.499
Br  0.499  0.303  0.911
Br  0.501  0.697  0.089
Br  0.697  0.089  0.501
Br  0.911  0.499  0.303

Output
Formation energy from raw total energies (meV/atom): 121


(12)
The following is a DFT calculation (PBE) of a relaxed structure of Ag4SBr2.

Cell: 5.979 6.759 9.856 Å, 90.00 105.22 90.00°
Fractional coordinates of all 14 atoms:
Ag  0.024  0.250  0.157
Ag  0.173  0.503  0.410
Ag  0.173  0.997  0.410
Ag  0.469  0.750  0.842
Ag  0.531  0.250  0.158
Ag  0.827  0.003  0.590
Ag  0.827  0.497  0.590
Ag  0.976  0.750  0.843
S  0.139  0.750  0.640
S  0.861  0.250  0.360
Br  0.188  0.250  0.944
Br  0.473  0.750  0.352
Br  0.527  0.250  0.648
Br  0.812  0.750  0.056

Output
Energy above the lowest structure with this stoichiometry (meV per atom): 0
Formation energy from raw total energies (meV/atom): -179


(13)
The following is a DFT calculation (PBE) of a relaxed structure of Ag6S2Br3.

Cell: 4.633 4.653 13.301 Å, 99.78 99.97 90.01°
Fractional coordinates of all 11 atoms:
Ag  0.065  0.067  0.130
Ag  0.194  0.764  0.389
Ag  0.381  0.506  0.760
Ag  0.619  0.494  0.240
Ag  0.806  0.236  0.611
Ag  0.935  0.933  0.870
S  0.099  0.603  0.198
S  0.901  0.397  0.802
Br  0.296  0.820  0.592
Br  0.500  0.000  0.000
Br  0.704  0.180  0.408

Output
Formation energy from raw total energies (meV/atom): -142


(14)
The following is a DFT calculation (PBE) of a relaxed structure of Ag8SBr6.

Cell: 7.362 7.362 7.362 Å, 101.10 101.10 101.10°
Fractional coordinates of all 15 atoms:
Ag  0.203  0.324  0.622
Ag  0.225  0.225  0.225
Ag  0.324  0.622  0.203
Ag  0.378  0.797  0.676
Ag  0.622  0.203  0.324
Ag  0.676  0.378  0.797
Ag  0.775  0.775  0.775
Ag  0.797  0.676  0.378
S  0.500  0.500  0.500
Br  0.088  0.627  0.825
Br  0.175  0.912  0.373
Br  0.373  0.175  0.912
Br  0.627  0.825  0.088
Br  0.825  0.088  0.627
Br  0.912  0.373  0.175

Output
Formation energy from raw total energies (meV/atom): -212


(15)
The following is a DFT calculation (PBE) of a relaxed structure of AgSBr3.

Cell: 5.174 5.174 5.174 Å, 90.00 90.00 90.00°
Fractional coordinates of all 5 atoms:
Ag  0.000  0.000  0.000
S  0.500  0.500  0.500
Br  0.000  0.500  0.500
Br  0.500  0.000  0.500
Br  0.500  0.500  0.000

Output
Energy above the lowest structure with this stoichiometry (meV per atom): 341
Formation energy from raw total energies (meV/atom): 239


(16)
The following is a DFT calculation (PBE) of a relaxed structure of Ag2SBr2.

Cell: 7.212 7.212 5.065 Å, 90.00 90.00 90.00°
Fractional coordinates of all 10 atoms:
Ag  0.237  0.263  0.000
Ag  0.263  0.763  0.000
Ag  0.737  0.237  0.000
Ag  0.763  0.737  0.000
S  0.000  0.000  0.000
S  0.500  0.500  0.000
Br  0.174  0.326  0.500
Br  0.326  0.826  0.500
Br  0.674  0.174  0.500
Br  0.826  0.674  0.500

Output
Energy above the lowest structure with this stoichiometry (meV per atom): 328
Formation energy from raw total energies (meV/atom): 119


(17)
The following is a DFT calculation (PBE) of a relaxed structure of Ag5SBr4.

Cell: 6.945 6.945 6.945 Å, 103.58 103.58 122.03°
Fractional coordinates of all 10 atoms:
Ag  0.000  0.000  0.000
Ag  0.325  0.701  0.817
Ag  0.507  0.325  0.623
Ag  0.701  0.884  0.377
Ag  0.884  0.507  0.183
S  0.633  0.633  0.000
Br  0.080  0.864  0.614
Br  0.251  0.466  0.386
Br  0.466  0.080  0.216
Br  0.864  0.251  0.784

Output
Formation energy from raw total energies (meV/atom): -190


(18)
The following is a DFT calculation (PBE) of a relaxed structure of Ag8S6Br.

Cell: 7.418 7.418 7.418 Å, 103.37 103.37 103.37°
Fractional coordinates of all 15 atoms:
Ag  0.139  0.351  0.789
Ag  0.211  0.861  0.649
Ag  0.215  0.215  0.215
Ag  0.351  0.789  0.139
Ag  0.649  0.211  0.861
Ag  0.785  0.785  0.785
Ag  0.789  0.139  0.351
Ag  0.861  0.649  0.211
S  0.079  0.659  0.825
S  0.175  0.921  0.341
S  0.341  0.175  0.921
S  0.659  0.825  0.079
S  0.825  0.079  0.659
S  0.921  0.341  0.175
Br  0.500  0.500  0.500

Output
Formation energy from raw total energies (meV/atom): 120


(19)
The following is a DFT calculation (PBE) of a relaxed structure of Ag6S2Br.

Cell: 6.979 6.979 8.624 Å, 112.67 112.67 35.04°
Fractional coordinates of all 9 atoms:
Ag  0.055  0.055  0.363
Ag  0.291  0.291  0.421
Ag  0.359  0.359  0.800
Ag  0.641  0.641  0.200
Ag  0.709  0.709  0.579
Ag  0.945  0.945  0.637
S  0.151  0.151  0.691
S  0.849  0.849  0.309
Br  0.000  0.000  0.000

Output
Formation energy from raw total energies (meV/atom): 50


(20)
The following is a DFT calculation (PBE) of a relaxed structure of AgSbSBr.

Cell: 4.020 4.020 6.507 Å, 101.82 101.82 85.28°
Fractional coordinates of all 4 atoms:
Ag  0.000  0.000  0.000
Sb  0.228  0.228  0.450
S  0.863  0.863  0.575
Br  0.511  0.511  0.018

Output
Formation energy from raw total energies (meV/atom): -112


(21)
The following is a DFT calculation (PBE) of a relaxed structure of Ag2Se2SBr2.

Cell: 6.427 6.427 6.098 Å, 94.09 94.09 50.47°
Fractional coordinates of all 7 atoms:
Ag  0.195  0.195  0.265
Ag  0.805  0.805  0.735
Se  0.322  0.322  0.638
Se  0.678  0.678  0.362
S  0.500  0.500  0.500
Br  0.122  0.122  0.849
Br  0.878  0.878  0.151

Output
Formation energy from raw total energies (meV/atom): 69


(22)
The following is a DFT calculation (PBE) of a relaxed structure of Ag6SeSBr2.

Cell: 6.992 6.992 6.748 Å, 118.62 118.62 61.58°
Fractional coordinates of all 10 atoms:
Ag  0.164  0.666  0.654
Ag  0.244  0.244  0.824
Ag  0.334  0.836  0.346
Ag  0.666  0.164  0.654
Ag  0.756  0.756  0.176
Ag  0.836  0.334  0.346
Se  0.500  0.500  0.000
S  0.000  0.000  0.500
Br  0.248  0.248  0.249
Br  0.752  0.752  0.751

Output
Formation energy from raw total energies (meV/atom): -110